1.
YAl2Pt: optimized geometry, PBE-GGA.

a b c (Å): 4.655 4.740 6.747
angles (deg): 90.00 90.00 90.00
Positions (direct):
Y  0.000  0.000  0.000
Y  0.500  0.500  0.500
Al  0.000  0.000  0.497
Al  0.000  0.500  0.245
Al  0.500  0.000  0.745
Al  0.500  0.500  0.997
Pt  0.000  0.500  0.757
Pt  0.500  0.000  0.257

Output
energy = -0.41546 Ry/atom
size of the total moment = 0.000 μB per cell

=====

2.
YAl2Pt: optimized geometry, PBE-GGA.

a b c (Å): 6.611 6.611 6.611
angles (deg): 90.00 90.00 90.00
Positions (direct):
Y  0.000  0.000  0.000
Y  0.000  0.500  0.500
Y  0.500  0.000  0.500
Y  0.500  0.500  0.000
Al  0.250  0.250  0.250
Al  0.250  0.250  0.750
Al  0.250  0.750  0.250
Al  0.250  0.750  0.750
Al  0.750  0.250  0.250
Al  0.750  0.250  0.750
Al  0.750  0.750  0.250
Al  0.750  0.750  0.750
Pt  0.000  0.000  0.500
Pt  0.000  0.500  0.000
Pt  0.500  0.000  0.000
Pt  0.500  0.500  0.500

Output
energy = -0.40955 Ry/atom
size of the total moment = 0.000 μB per cell

=====

3.
YAl6Pt3: optimized geometry, PBE-GGA.

a b c (Å): 8.094 4.138 10.643
angles (deg): 90.00 96.81 90.00
Positions (direct):
Y  0.011  0.250  0.272
Y  0.989  0.750  0.728
Al  0.066  0.250  0.939
Al  0.208  0.750  0.447
Al  0.266  0.750  0.193
Al  0.340  0.750  0.730
Al  0.416  0.250  0.060
Al  0.444  0.250  0.581
Al  0.556  0.750  0.419
Al  0.584  0.750  0.940
Al  0.660  0.250  0.270
Al  0.734  0.250  0.807
Al  0.792  0.250  0.553
Al  0.934  0.750  0.061
Pt  0.129  0.250  0.563
Pt  0.264  0.750  0.954
Pt  0.374  0.250  0.335
Pt  0.626  0.750  0.665
Pt  0.736  0.250  0.046
Pt  0.871  0.750  0.437

Output
energy = -0.40432 Ry/atom
size of the total moment = 0.000 μB per cell

=====

4.
YAl2Pt: optimized geometry, PBE-GGA.

a b c (Å): 3.420 4.215 5.824
angles (deg): 90.00 106.97 90.00
Positions (direct):
Y  0.000  0.000  0.000
Al  0.265  0.000  0.526
Al  0.692  0.500  0.380
Pt  0.389  0.500  0.775

Output
energy = -0.41337 Ry/atom
size of the total moment = 0.000 μB per cell

=====

In order of appearance, energy of formation from the pure elements = -0.655 -0.575 -0.797 -0.627 eV per atom.